Record 1
{"formula": "RbZn2Sn3", "functional": "PBE", "state": "optimized geometry", "lattice_angstrom": [[-6.510, 2.099, -2.359], [0.782, -4.112, -5.819], [-3.128, -4.219, 4.878]], "species": ["Rb", "Rb", "Zn", "Zn", "Zn", "Zn", "Sn", "Sn", "Sn", "Sn", "Sn", "Sn"], "frac_coords": [[0.750, 0.306, 0.694], [0.250, 0.694, 0.306], [0.000, 0.846, 0.846], [0.500, 0.846, 0.846], [0.000, 0.154, 0.154], [0.500, 0.154, 0.154], [0.250, 0.151, 0.849], [0.250, 0.550, 0.775], [0.750, 0.775, 0.550], [0.250, 0.225, 0.450], [0.750, 0.450, 0.225], [0.750, 0.849, 0.151]], "ef_mev_per_atom": -30, "crystal_system": "orthorhombic", "space_group": "No. 63", "dos_ef_per_ev_cell": 5.03}


Record 2
{"formula": "CrGa5", "functional": "PBE", "state": "optimized geometry", "lattice_angstrom": [[4.048, 0.000, 0.000], [0.000, 4.043, 0.000], [0.000, -2.021, 6.200]], "species": ["Cr", "Ga", "Ga", "Ga", "Ga", "Ga"], "frac_coords": [[0.000, 0.000, 0.000], [0.500, 0.836, 0.673], [0.000, 0.659, 0.319], [0.500, 0.500, 0.000], [0.000, 0.341, 0.681], [0.500, 0.164, 0.327]], "ef_mev_per_atom": 89, "crystal_system": "orthorhombic", "space_group": "No. 65", "dos_ef_per_ev_cell": 3.03}


Record 3
{"formula": "TaTi2Mo2W6", "functional": "PBE", "state": "optimized geometry", "lattice_angstrom": [[5.507, 0.000, 0.000], [2.753, 4.769, 0.000], [2.753, 1.590, 7.351]], "species": ["Ta", "Ti", "Ti", "Mo", "Mo", "W", "W", "W", "W", "W", "W"], "frac_coords": [[0.000, 0.000, 0.000], [0.666, 0.666, 0.002], [0.334, 0.334, 0.998], [0.446, 0.446, 0.662], [0.554, 0.554, 0.338], [0.062, 0.062, 0.315], [0.561, 0.062, 0.315], [0.062, 0.561, 0.315], [0.938, 0.439, 0.685], [0.439, 0.938, 0.685], [0.938, 0.938, 0.685]], "ef_mev_per_atom": 647, "crystal_system": "trigonal", "space_group": "No. 166", "dos_ef_per_ev_cell": 11.55}


Record 4
{"formula": "BaY", "functional": "PBE", "state": "optimized geometry", "lattice_angstrom": [[13.937, 0.000, 0.000], [0.000, 13.937, 0.000], [0.000, 0.000, 3.804]], "species": ["Ba", "Ba", "Ba", "Ba", "Ba", "Ba", "Ba", "Ba", "Y", "Y", "Y", "Y", "Y", "Y", "Y", "Y"], "frac_coords": [[0.677, 0.387, 0.500], [0.323, 0.613, 0.500], [0.613, 0.677, 0.500], [0.387, 0.323, 0.500], [0.876, 0.834, 0.000], [0.124, 0.166, 0.000], [0.166, 0.876, 0.000], [0.834, 0.124, 0.000], [0.865, 0.584, 0.500], [0.135, 0.416, 0.500], [0.416, 0.865, 0.500], [0.584, 0.135, 0.500], [0.933, 0.391, 0.000], [0.067, 0.609, 0.000], [0.609, 0.933, 0.000], [0.391, 0.067, 0.000]], "ef_mev_per_atom": 252, "crystal_system": "tetragonal", "de_polymorph_kj_per_mol_fu": 18, "space_group": "No. 83", "dos_ef_per_ev_cell": 29.23}


Record 5
{"formula": "Tl3In8Sn3", "functional": "PBE", "state": "optimized geometry", "lattice_angstrom": [[4.496, 0.000, 1.127], [2.179, 9.366, 0.839], [-0.030, -0.218, 9.650]], "species": ["Tl", "Tl", "Tl", "In", "In", "In", "In", "In", "In", "In", "In", "Sn", "Sn", "Sn"], "frac_coords": [[0.500, 0.500, 0.500], [0.787, 0.213, 0.213], [0.213, 0.787, 0.787], [0.657, 0.055, 0.631], [0.343, 0.945, 0.369], [0.657, 0.631, 0.055], [0.343, 0.369, 0.945], [0.873, 0.751, 0.502], [0.127, 0.249, 0.498], [0.873, 0.502, 0.751], [0.127, 0.498, 0.249], [0.500, 0.000, 0.000], [0.000, 0.834, 0.166], [0.000, 0.166, 0.834]], "ef_mev_per_atom": 44, "crystal_system": "orthorhombic", "de_polymorph_kj_per_mol_fu": 6, "space_group": "No. 71", "dos_ef_per_ev_cell": 6.36}


Record 6
{"formula": "FeSb2Te", "functional": "PBE", "state": "optimized geometry", "lattice_angstrom": [[-0.480, -1.729, -2.608], [0.969, -2.591, 1.539], [-8.979, -1.706, 2.782]], "species": ["Fe", "Sb", "Sb", "Te"], "frac_coords": [[0.500, 0.500, 0.750], [0.000, 0.000, 0.915], [0.000, 0.000, 0.585], [0.500, 0.500, 0.250]], "crystal_system": "tetragonal", "space_group": "No. 123", "dos_ef_per_ev_cell": 4.77, "e_form_raw_mev_per_atom": 143}


Please write out number 1 again, unchanged.
{"formula": "RbZn2Sn3", "functional": "PBE", "state": "optimized geometry", "lattice_angstrom": [[-6.510, 2.099, -2.359], [0.782, -4.112, -5.819], [-3.128, -4.219, 4.878]], "species": ["Rb", "Rb", "Zn", "Zn", "Zn", "Zn", "Sn", "Sn", "Sn", "Sn", "Sn", "Sn"], "frac_coords": [[0.750, 0.306, 0.694], [0.250, 0.694, 0.306], [0.000, 0.846, 0.846], [0.500, 0.846, 0.846], [0.000, 0.154, 0.154], [0.500, 0.154, 0.154], [0.250, 0.151, 0.849], [0.250, 0.550, 0.775], [0.750, 0.775, 0.550], [0.250, 0.225, 0.450], [0.750, 0.450, 0.225], [0.750, 0.849, 0.151]], "ef_mev_per_atom": -30, "crystal_system": "orthorhombic", "space_group": "No. 63", "dos_ef_per_ev_cell": 5.03}